Density functional theory data (PBE) for a relaxed Sc2CdPb crystal.

final energy	-4.64	eV per atom
energy relative to the elements	-0.32	eV per atom

a = 5.390 Å, b = 5.390 Å, c = 5.390 Å
α = 128.97°, β = 128.97°, γ = 75.07°
Fractional coordinates of all 4 atoms:
1 Pb 0.750 0.250 0.500
2 Sc 0.000 0.000 0.000
3 Sc 0.500 0.500 0.000
4 Cd 0.250 0.750 0.500



Density functional theory data (PBE) for a relaxed Sc2CdPb crystal.

final energy	-4.51	eV per atom
energy relative to the elements	-0.19	eV per atom

a = 9.583 Å, b = 9.583 Å, c = 9.583 Å
α = 20.97°, β = 20.97°, γ = 20.97°
Fractional coordinates of all 4 atoms:
1 Cd 0.250 0.250 0.250
2 Pb 0.750 0.750 0.750
3 Sc 0.998 0.998 0.998
4 Sc 0.502 0.502 0.502



Density functional theory data (PBE) for a relaxed Sc2CdPb crystal.

final energy	-4.46	eV per atom
energy relative to the elements	-0.13	eV per atom

a = 3.448 Å, b = 3.448 Å, c = 8.325 Å
α = 90.00°, β = 90.00°, γ = 90.00°
Fractional coordinates of all 4 atoms:
1 Cd 0.000 0.000 0.486
2 Pb 0.500 0.500 0.746
3 Sc 0.000 0.000 0.009
4 Sc 0.500 0.500 0.259



Density functional theory data (PBE) for a relaxed SmScCdPb crystal.

final energy	-4.27	eV per atom
energy relative to the elements	-0.35	eV per atom

a = 5.264 Å, b = 5.264 Å, c = 5.264 Å
α = 60.00°, β = 60.00°, γ = 60.00°
Fractional coordinates of all 4 atoms:
1 Pb 0.250 0.250 0.250
2 Sc 0.000 0.000 0.000
3 Sm 0.500 0.500 0.500
4 Cd 0.750 0.750 0.750



Density functional theory data (PBE) for a relaxed SrScCdPb crystal.

final energy	-3.44	eV per atom
energy relative to the elements	-0.28	eV per atom

a = 5.420 Å, b = 5.420 Å, c = 5.420 Å
α = 60.00°, β = 60.00°, γ = 60.00°
Fractional coordinates of all 4 atoms:
1 Pb 0.250 0.250 0.250
2 Sr 0.000 0.000 0.000
3 Sc 0.500 0.500 0.500
4 Cd 0.750 0.750 0.750



Density functional theory data (PBE) for a relaxed TbScCdPb crystal.

final energy	-4.24	eV per atom
energy relative to the elements	-0.34	eV per atom

a = 5.221 Å, b = 5.221 Å, c = 5.221 Å
α = 60.00°, β = 60.00°, γ = 60.00°
Fractional coordinates of all 4 atoms:
1 Pb 0.000 0.000 0.000
2 Sc 0.750 0.750 0.750
3 Tb 0.250 0.250 0.250
4 Cd 0.500 0.500 0.500



Density functional theory data (PBE) for a relaxed ThScCdPb crystal.

final energy	-4.77	eV per atom
energy relative to the elements	-0.17	eV per atom

a = 5.331 Å, b = 5.331 Å, c = 5.331 Å
α = 60.00°, β = 60.00°, γ = 60.00°
Fractional coordinates of all 4 atoms:
1 Pb 0.000 0.000 0.000
2 Sc 0.250 0.250 0.250
3 Th 0.750 0.750 0.750
4 Cd 0.500 0.500 0.500



Density functional theory data (PBE) for a relaxed ScTiCdPb crystal.

final energy	-4.77	eV per atom
energy relative to the elements	-0.06	eV per atom

a = 4.966 Å, b = 4.966 Å, c = 4.966 Å
α = 60.00°, β = 60.00°, γ = 60.00°
Fractional coordinates of all 4 atoms:
1 Pb 0.000 0.000 0.000
2 Sc 0.750 0.750 0.750
3 Ti 0.250 0.250 0.250
4 Cd 0.500 0.500 0.500